# 1
Crystalline BaSb2TeI at its relaxed geometry. Source: Alexandria, functional GGA-PBE.

Computed properties:
For the formation energy without anion corrections, the calculation gives -140.1 meV per atom. The total moment comes out at 0.0 μB/f.u.

abc: 5.785 5.785 6.200
angles: 90.00 90.00 90.00
Element x y z (fractional)
Ba 0.000 0.000 0.000
Sb 0.000 0.500 0.500
Sb 0.500 0.000 0.500
Te 0.500 0.500 0.500
I 0.500 0.500 0.000


# 2
Crystalline Ce2DyHoSb5 at its relaxed geometry. Source: Alexandria, functional GGA-PBE.

Computed properties:
For the formation energy without anion corrections, the calculation gives -288.8 meV per atom. The total moment comes out at 1.7 μB/f.u.

abc: 5.290 5.290 11.554
angles: 90.00 90.00 90.00
Element x y z (fractional)
Ce 0.000 0.000 0.213
Ce 0.000 0.000 0.787
Dy 0.500 0.500 0.500
Ho 0.500 0.500 0.000
Sb 0.000 0.000 0.500
Sb 0.000 0.500 0.000
Sb 0.500 0.000 0.000
Sb 0.500 0.500 0.252
Sb 0.500 0.500 0.748


# 3
Crystalline CsTlCoBr4 at its relaxed geometry. Source: Alexandria, functional GGA-PBE.

Computed properties:
For the formation energy without anion corrections, the calculation gives -921.0 meV per atom. The total moment comes out at 3.0 μB/f.u.

abc: 7.196 7.696 10.196
angles: 90.00 110.12 90.00
Element x y z (fractional)
Cs 0.191 0.250 0.411
Cs 0.809 0.750 0.589
Tl 0.295 0.250 0.964
Tl 0.705 0.750 0.036
Co 0.307 0.750 0.205
Co 0.693 0.250 0.795
Br 0.091 0.750 0.340
Br 0.124 0.750 0.959
Br 0.481 0.000 0.741
Br 0.481 0.500 0.741
Br 0.519 0.000 0.259
Br 0.519 0.500 0.259
Br 0.876 0.250 0.041
Br 0.909 0.250 0.660


# 4
Crystalline ScAg2 at its relaxed geometry. Source: Alexandria, functional GGA-PBE.

Computed properties:
The formation energy comes out at 0.02 eV per atom. The total moment comes out at 0.0 μB/f.u.

abc: 6.861 6.861 4.716
angles: 90.00 90.00 120.00
Element x y z (fractional)
Sc 0.000 0.000 0.000
Sc 0.333 0.667 0.500
Sc 0.667 0.333 0.500
Ag 0.000 0.234 0.500
Ag 0.000 0.478 0.000
Ag 0.234 0.000 0.500
Ag 0.478 0.000 0.000
Ag 0.522 0.522 0.000
Ag 0.766 0.766 0.500


# 5
Crystalline Rb3GeP2 at its relaxed geometry. Source: Alexandria, functional GGA-PBE.

Computed properties:
The formation energy comes out at -0.22 eV per atom. The total moment comes out at 0.0 μB/f.u.

abc: 13.045 4.660 14.004
angles: 90.00 90.00 90.00
Element x y z (fractional)
Rb 0.086 0.250 0.108
Rb 0.118 0.750 0.559
Rb 0.155 0.250 0.802
Rb 0.345 0.750 0.302
Rb 0.382 0.250 0.059
Rb 0.414 0.750 0.608
Rb 0.586 0.250 0.392
Rb 0.618 0.750 0.941
Rb 0.655 0.250 0.698
Rb 0.845 0.750 0.198
Rb 0.882 0.250 0.441
Rb 0.914 0.750 0.892
Ge 0.151 0.250 0.363
Ge 0.349 0.750 0.863
Ge 0.651 0.250 0.137
Ge 0.849 0.750 0.637
P 0.086 0.750 0.318
P 0.213 0.750 0.965
P 0.287 0.250 0.465
P 0.414 0.250 0.818
P 0.586 0.750 0.182
P 0.713 0.750 0.535
P 0.787 0.250 0.035
P 0.914 0.250 0.682


# 6
Crystalline MgTe3 at its relaxed geometry. Source: Alexandria, functional GGA-PBE.

Computed properties:
For the formation energy without anion corrections, the calculation gives -340.4 meV per atom. The total moment comes out at 0.0 μB/f.u.

abc: 4.380 6.322 4.376
angles: 90.00 90.00 90.00
Element x y z (fractional)
Mg 0.000 0.000 0.000
Te 0.000 0.500 0.002
Te 0.500 0.000 0.502
Te 0.500 0.500 0.502


# 7
Crystalline LiVB2 at its relaxed geometry. Source: Alexandria, functional GGA-PBE.

Computed properties:
The formation energy comes out at 0.35 eV per atom. The total moment comes out at 0.8 μB/f.u.

abc: 3.665 3.665 3.665
angles: 60.00 60.00 60.00
Element x y z (fractional)
Li 0.000 0.000 0.000
V 0.500 0.500 0.500
B 0.250 0.250 0.250
B 0.750 0.750 0.750


total moment of number 2 (Ce2DyHoSb5)? 1.7 μB/f.u.


Which value of total moment does entry 5 give? 0.0 μB/f.u.


Among the records above, which one has the highest total moment? CsTlCoBr4